Entry 1:
8
Lattice="4.484 -5.456 0.000 4.484 5.456 0.000 0.000 0.000 3.898" Properties=species:S:1:pos:R:3 comment="Tl5Pt3, relaxed, DFT PBE" density_g_cm3=14.0 sg="Cmmm (65)" energy_ev_per_cell=-28.92 m_tot_mub_per_cell=0.000 pbc="T T T"
Tl 0.000 0.000 0.000
Tl 2.242 2.728 0.000
Tl 2.445 0.000 1.949
Tl 2.242 -2.728 0.000
Tl 6.523 0.000 1.949
Pt 4.484 2.104 1.949
Pt 4.484 0.000 0.000
Pt 4.484 -2.104 1.949

---

Entry 2:
2
Lattice="0.000 3.116 3.116 3.116 0.000 3.116 3.116 3.116 0.000" Properties=species:S:1:pos:R:3 comment="TlPt, relaxed, DFT PBE" density_g_cm3=11.0 sg="F-43m (216)" energy_ev_per_cell=-7.63 m_tot_mub_per_cell=0.000 pbc="T T T"
Tl 0.000 0.000 0.000
Pt 1.558 1.558 1.558

---

Entry 3:
6
Lattice="5.234 -1.509 0.000 5.234 1.509 0.000 -2.050 0.000 7.838" Properties=species:S:1:pos:R:3 comment="TlPt, relaxed, DFT PBE" density_g_cm3=16.1 sg="Cm (8)" energy_ev_per_cell=-24.65 m_tot_mub_per_cell=0.000 pbc="T T T"
Tl 0.000 0.000 0.000
Tl -0.786 0.000 3.100
Tl 1.915 0.000 4.922
Pt 2.815 0.000 0.062
Pt 4.714 0.000 5.766
Pt 6.941 0.000 2.198

---

Entry 4:
4
Lattice="-2.668 2.668 3.511 2.668 -2.668 3.511 2.668 2.668 -3.511" Properties=species:S:1:pos:R:3 comment="Tl3Pt, relaxed, DFT PBE" density_g_cm3=13.4 sg="I4/mmm (139)" energy_ev_per_cell=-12.56 m_tot_mub_per_cell=0.000 pbc="T T T"
Tl 0.000 0.000 0.000
Tl 2.668 0.000 1.755
Tl 0.000 2.668 1.755
Pt 0.000 0.000 3.511

---

Entry 5:
6
Lattice="1.967 -6.700 0.000 1.967 6.700 0.000 0.000 0.000 5.539" Properties=species:S:1:pos:R:3 comment="Tl2Pt, relaxed, DFT PBE" density_g_cm3=13.7 sg="Cmcm (63)" energy_ev_per_cell=-20.78 m_tot_mub_per_cell=0.000 pbc="T T T"
Tl 1.967 6.049 4.154
Tl 1.967 3.156 1.385
Tl 1.967 -3.156 4.154
Tl 1.967 -6.049 1.385
Pt 1.967 1.540 4.154
Pt 1.967 -1.540 1.385

---

Entry 6:
3
Lattice="-1.531 1.531 5.761 1.531 -1.531 5.761 1.531 1.531 -5.761" Properties=species:S:1:pos:R:3 comment="TlPt2, relaxed, DFT PBE" density_g_cm3=18.3 sg="I4/mmm (139)" energy_ev_per_cell=-14.05 m_tot_mub_per_cell=0.000 pbc="T T T"
Tl 0.000 0.000 0.000
Pt 0.000 0.000 3.810
Pt 0.000 0.000 7.711

---

Entry 7:
6
Lattice="-3.674 3.674 2.791 3.674 -3.674 2.791 3.674 3.674 -2.791" Properties=species:S:1:pos:R:3 comment="Tl2Pt, relaxed, DFT PBE" density_g_cm3=13.3 sg="I4/mcm (140)" energy_ev_per_cell=-21.58 m_tot_mub_per_cell=0.000 pbc="T T T"
Tl 4.827 1.153 0.000
Tl 1.153 2.521 0.000
Tl 2.521 1.153 2.791
Tl -1.153 2.521 2.791
Pt 0.000 0.000 0.000
Pt 0.000 0.000 2.791

---

Entry 8:
5
Lattice="-3.004 3.004 3.004 3.004 -3.004 3.004 3.004 3.004 -3.004" Properties=species:S:1:pos:R:3 comment="TlPt4, relaxed, DFT PBE" density_g_cm3=15.1 sg="Im-3m (229)" energy_ev_per_cell=-22.22 m_tot_mub_per_cell=0.000 pbc="T T T"
Tl 0.000 0.000 0.000
Pt 1.502 1.502 -1.502
Pt 1.502 -1.502 1.502
Pt -1.502 1.502 1.502
Pt 1.502 1.502 1.502